Record 1
VASP calculation (PBEsol) on KReO2F after structural relaxation.

The uncorrected formation energy comes out at -814 kJ/mol of formula units. Its density of states at the Fermi level is 0.54 states/eV per atom. The calculation puts the mass density at 6.84 g/cm3. The volume comes out at 67.1 Å³/cell. The total energy is -35.32 eV for the cell shown.

a b c (Å): 3.826 3.826 4.581
angles (deg): 90.00 90.00 90.00
Element x y z (fractional)
K1 0.000 0.000 0.000
Re1 0.500 0.500 0.500
O1 0.000 0.500 0.500
O2 0.500 0.000 0.500
F1 0.500 0.500 0.000

---

Record 2
VASP calculation (PBEsol) on KRe2O4F7 after structural relaxation.

The uncorrected formation energy comes out at -2842 kJ/mol of formula units. Its density of states at the Fermi level is 0.00 states/eV per atom. The calculation puts the mass density at 4.79 g/cm3. The volume comes out at 422.1 Å³/cell. The total energy is -183.49 eV for the cell shown.

a b c (Å): 5.526 5.125 15.476
angles (deg): 90.00 105.67 90.00
Element x y z (fractional)
K1 0.000 0.181 0.250
K2 0.000 0.819 0.750
Re1 0.377 0.256 0.613
Re2 0.377 0.744 0.113
Re3 0.623 0.256 0.887
Re4 0.623 0.744 0.387
O1 0.256 0.376 0.508
O2 0.256 0.624 0.008
O3 0.361 0.090 0.897
O4 0.361 0.910 0.397
O5 0.639 0.090 0.603
O6 0.639 0.910 0.103
O7 0.744 0.376 0.992
O8 0.744 0.624 0.492
F1 0.126 0.390 0.668
F2 0.126 0.610 0.168
F3 0.177 0.045 0.102
F4 0.177 0.955 0.602
F5 0.446 0.445 0.336
F6 0.446 0.555 0.836
F7 0.500 0.116 0.750
F8 0.500 0.884 0.250
F9 0.554 0.445 0.164
F10 0.554 0.555 0.664
F11 0.823 0.045 0.398
F12 0.823 0.955 0.898
F13 0.874 0.390 0.832
F14 0.874 0.610 0.332

---

Record 3
VASP calculation (PBEsol) on K3SO4F after structural relaxation.

The uncorrected formation energy comes out at -1808 kJ/mol of formula units. Its density of states at the Fermi level is 0.00 states/eV per atom. The calculation puts the mass density at 2.48 g/cm3. The volume comes out at 155.3 Å³/cell. The total energy is -49.45 eV for the cell shown.

a b c (Å): 5.375 5.375 5.375
angles (deg): 90.00 90.00 90.00
Element x y z (fractional)
K1 0.000 0.000 0.500
K2 0.000 0.500 0.000
K3 0.500 0.000 0.000
S1 0.500 0.500 0.500
O1 0.340 0.340 0.660
O2 0.340 0.660 0.340
O3 0.660 0.340 0.340
O4 0.660 0.660 0.660
F1 0.000 0.000 0.000

---

Record 4
VASP calculation (PBEsol) on K3SO4F after structural relaxation.

The uncorrected formation energy comes out at -1823 kJ/mol of formula units. Its density of states at the Fermi level is 0.00 states/eV per atom. The calculation puts the mass density at 2.73 g/cm3. The volume comes out at 282.4 Å³/cell. The total energy is -99.21 eV for the cell shown.

a b c (Å): 7.451 7.451 7.451
angles (deg): 122.14 122.14 86.34
Element x y z (fractional)
K1 0.190 0.690 0.879
K2 0.250 0.250 0.000
K3 0.310 0.190 0.500
K4 0.690 0.810 0.500
K5 0.750 0.750 0.000
K6 0.810 0.310 0.121
S1 0.250 0.750 0.500
S2 0.750 0.250 0.500
O1 0.051 0.788 0.500
O2 0.212 0.712 0.263
O3 0.288 0.551 0.500
O4 0.449 0.949 0.737
O5 0.551 0.051 0.263
O6 0.712 0.449 0.500
O7 0.788 0.288 0.737
O8 0.949 0.212 0.500
F1 0.000 0.000 0.000
F2 0.500 0.500 0.000

---

Record 5
VASP calculation (PBEsol) on KSnSO4F after structural relaxation.

The uncorrected formation energy comes out at -1400 kJ/mol of formula units. Its density of states at the Fermi level is 0.00 states/eV per atom. The calculation puts the mass density at 3.47 g/cm3. The volume comes out at 260.9 Å³/cell. The total energy is -94.43 eV for the cell shown.

a b c (Å): 6.140 7.068 7.146
angles (deg): 106.60 103.01 109.94
Element x y z (fractional)
K1 0.191 0.338 0.128
K2 0.809 0.662 0.872
Sn1 0.371 0.944 0.708
Sn2 0.629 0.056 0.292
S1 0.172 0.363 0.659
S2 0.828 0.637 0.341
O1 0.020 0.637 0.249
O2 0.050 0.207 0.431
O3 0.325 0.584 0.670
O4 0.345 0.292 0.770
O5 0.655 0.708 0.230
O6 0.675 0.416 0.330
O7 0.950 0.793 0.569
O8 0.980 0.363 0.751
F1 0.269 0.973 0.974
F2 0.731 0.027 0.026

---

Record 6
VASP calculation (PBEsol) on K2ScSi4O10F after structural relaxation.

The uncorrected formation energy comes out at -5040 kJ/mol of formula units. Its density of states at the Fermi level is 0.00 states/eV per atom. The calculation puts the mass density at 2.66 g/cm3. The volume comes out at 516.6 Å³/cell. The total energy is -277.03 eV for the cell shown.

a b c (Å): 8.938 8.938 8.938
angles (deg): 102.08 102.08 125.54
Element x y z (fractional)
K1 0.180 0.818 0.998
K2 0.182 0.180 0.362
K3 0.818 0.820 0.638
K4 0.820 0.182 0.002
Sc1 0.255 0.255 0.000
Sc2 0.745 0.745 0.000
Si1 0.005 0.703 0.325
Si2 0.297 0.621 0.302
Si3 0.320 0.995 0.698
Si4 0.379 0.680 0.675
Si5 0.621 0.320 0.325
Si6 0.680 0.005 0.302
Si7 0.703 0.379 0.698
Si8 0.995 0.297 0.675
O1 0.050 0.235 0.818
O2 0.089 0.588 0.271
O3 0.181 0.911 0.499
O4 0.184 0.445 0.629
O5 0.232 0.050 0.815
O6 0.235 0.417 0.185
O7 0.317 0.819 0.729
O8 0.412 0.683 0.501
O9 0.417 0.232 0.182
O10 0.445 0.816 0.261
O11 0.555 0.184 0.739
O12 0.583 0.768 0.818
O13 0.588 0.317 0.499
O14 0.683 0.181 0.271
O15 0.765 0.583 0.815
O16 0.768 0.950 0.185
O17 0.816 0.555 0.371
O18 0.819 0.089 0.501
O19 0.911 0.412 0.729
O20 0.950 0.765 0.182
F1 0.000 0.000 0.000
F2 0.500 0.500 0.000

---

Record 7
VASP calculation (PBEsol) on KSr2Si4O10F after structural relaxation.

The uncorrected formation energy comes out at -5127 kJ/mol of formula units. Its density of states at the Fermi level is 0.00 states/eV per atom. The calculation puts the mass density at 3.20 g/cm3. The volume comes out at 1049.5 Å³/cell. The total energy is -541.44 eV for the cell shown.

a b c (Å): 11.525 8.458 12.907
angles (deg): 90.00 123.48 90.00
Element x y z (fractional)
K1 0.106 0.219 0.071
K2 0.106 0.281 0.571
K3 0.894 0.719 0.429
K4 0.894 0.781 0.929
Sr1 0.418 0.217 0.959
Sr2 0.418 0.283 0.459
Sr3 0.435 0.024 0.721
Sr4 0.435 0.476 0.221
Sr5 0.565 0.524 0.779
Sr6 0.565 0.976 0.279
Sr7 0.582 0.717 0.541
Sr8 0.582 0.783 0.041
Si1 0.126 0.533 0.241
Si2 0.126 0.967 0.741
Si3 0.192 0.523 0.917
Si4 0.192 0.977 0.417
Si5 0.248 0.654 0.732
Si6 0.248 0.846 0.232
Si7 0.257 0.622 0.504
Si8 0.257 0.878 0.004
Si9 0.743 0.122 0.996
Si10 0.743 0.378 0.496
Si11 0.752 0.154 0.768
Si12 0.752 0.346 0.268
Si13 0.808 0.023 0.583
Si14 0.808 0.477 0.083
Si15 0.874 0.033 0.259
Si16 0.874 0.467 0.759
O1 0.026 0.543 0.864
O2 0.026 0.957 0.364
O3 0.127 0.561 0.368
O4 0.127 0.939 0.868
O5 0.128 0.708 0.187
O6 0.128 0.792 0.687
O7 0.206 0.577 0.598
O8 0.206 0.923 0.098
O9 0.211 0.516 0.799
O10 0.211 0.984 0.299
O11 0.248 0.077 0.762
O12 0.248 0.423 0.262
O13 0.266 0.127 0.504
O14 0.266 0.373 0.004
O15 0.268 0.683 0.000
O16 0.268 0.817 0.500
O17 0.403 0.542 0.547
O18 0.403 0.958 0.047
O19 0.406 0.714 0.814
O20 0.406 0.786 0.314
O21 0.594 0.214 0.686
O22 0.594 0.286 0.186
O23 0.597 0.042 0.953
O24 0.597 0.458 0.453
O25 0.732 0.183 0.500
O26 0.732 0.317 0.000
O27 0.734 0.627 0.996
O28 0.734 0.873 0.496
O29 0.752 0.577 0.738
O30 0.752 0.923 0.238
O31 0.789 0.016 0.701
O32 0.789 0.484 0.201
O33 0.794 0.077 0.902
O34 0.794 0.423 0.402
O35 0.872 0.208 0.313
O36 0.872 0.292 0.813
O37 0.873 0.061 0.132
O38 0.873 0.439 0.632
O39 0.974 0.043 0.636
O40 0.974 0.457 0.136
F1 0.432 0.184 0.291
F2 0.432 0.316 0.791
F3 0.568 0.684 0.209
F4 0.568 0.816 0.709

---

Record 8
VASP calculation (PBEsol) on KTaO2F after structural relaxation.

The uncorrected formation energy comes out at 304 kJ/mol of formula units. Its density of states at the Fermi level is 1.01 states/eV per atom. The calculation puts the mass density at 5.92 g/cm3. The volume comes out at 76.1 Å³/cell. The total energy is -22.96 eV for the cell shown.

a b c (Å): 4.268 4.268 4.175
angles (deg): 90.00 90.00 90.00
Element x y z (fractional)
K1 0.000 0.000 0.000
Ta1 0.500 0.500 0.500
O1 0.000 0.500 0.000
O2 0.500 0.000 0.000
F1 0.000 0.000 0.500

---

Record 9
VASP calculation (PBEsol) on KTcOF2 after structural relaxation.

The uncorrected formation energy comes out at -881 kJ/mol of formula units. Its density of states at the Fermi level is 0.51 states/eV per atom. The calculation puts the mass density at 4.70 g/cm3. The volume comes out at 67.5 Å³/cell. The total energy is -30.64 eV for the cell shown.

a b c (Å): 4.238 4.238 3.756
angles (deg): 90.00 90.00 90.00
Element x y z (fractional)
K1 0.000 0.000 0.000
Tc1 0.500 0.500 0.500
O1 0.500 0.500 0.000
F1 0.000 0.500 0.500
F2 0.500 0.000 0.500

---

Record 10
VASP calculation (PBEsol) on K2TeOF4 after structural relaxation.

The uncorrected formation energy comes out at -1780 kJ/mol of formula units. Its density of states at the Fermi level is 0.00 states/eV per atom. The calculation puts the mass density at 3.48 g/cm3. The volume comes out at 284.0 Å³/cell. The total energy is -74.41 eV for the cell shown.

a b c (Å): 7.516 7.516 6.614
angles (deg): 90.00 90.00 130.54
Element x y z (fractional)
K1 0.066 0.934 0.750
K2 0.252 0.748 0.250
K3 0.748 0.252 0.750
K4 0.934 0.066 0.250
Te1 0.393 0.607 0.750
Te2 0.607 0.393 0.250
O1 0.261 0.739 0.750
O2 0.739 0.261 0.250
F1 0.150 0.372 0.533
F2 0.150 0.372 0.967
F3 0.372 0.150 0.033
F4 0.372 0.150 0.467
F5 0.628 0.850 0.533
F6 0.628 0.850 0.967
F7 0.850 0.628 0.033
F8 0.850 0.628 0.467

---

Record 11
VASP calculation (PBEsol) on KTeO2F after structural relaxation.

The uncorrected formation energy comes out at -746 kJ/mol of formula units. Its density of states at the Fermi level is 0.06 states/eV per atom. The calculation puts the mass density at 4.55 g/cm3. The volume comes out at 79.4 Å³/cell. The total energy is -24.81 eV for the cell shown.

a b c (Å): 4.155 4.155 4.600
angles (deg): 90.00 90.00 90.00
Element x y z (fractional)
K1 0.000 0.000 0.000
Te1 0.500 0.500 0.500
O1 0.000 0.500 0.500
O2 0.500 0.000 0.500
F1 0.500 0.500 0.000

---

Record 12
VASP calculation (PBEsol) on K3TiO4F3 after structural relaxation.

The uncorrected formation energy comes out at -2409 kJ/mol of formula units. Its density of states at the Fermi level is 0.00 states/eV per atom. The calculation puts the mass density at 2.82 g/cm3. The volume comes out at 336.9 Å³/cell. The total energy is -126.93 eV for the cell shown.

a b c (Å): 6.208 6.208 8.815
angles (deg): 90.00 90.00 82.47
Element x y z (fractional)
K1 0.200 0.800 0.750
K2 0.299 0.299 0.000
K3 0.299 0.299 0.500
K4 0.701 0.701 0.000
K5 0.701 0.701 0.500
K6 0.800 0.200 0.250
Ti1 0.241 0.759 0.250
Ti2 0.759 0.241 0.750
O1 0.028 0.549 0.250
O2 0.069 0.222 0.750
O3 0.222 0.069 0.250
O4 0.451 0.972 0.250
O5 0.549 0.028 0.750
O6 0.778 0.931 0.750
O7 0.931 0.778 0.250
O8 0.972 0.451 0.750
F1 0.263 0.737 0.031
F2 0.263 0.737 0.469
F3 0.483 0.517 0.250
F4 0.517 0.483 0.750
F5 0.737 0.263 0.531
F6 0.737 0.263 0.969